Record 1
Material: KGa6Ag12
Method: DFT, PBE-GGA
State: optimized geometry

The space group is R-3m (No. 166, hexagonal axes) and the conventional cell measures 11.9582, 11.9582 and 9.2614 Å, with angles of 90.00, 90.00 and 120.00 degrees. The asymmetric unit holds K at (0.0000, 0.0000, 0.0000), Ga at (0.0494, 0.5247, 0.2535), Ag at (0.0000, 0.3830, 0.5000) and Ag at (0.0849, 0.1698, 0.3145).

The energy relative to the elements comes out at 0.0468 eV per atom. Its theoretical density is 7.61 g/cm3. The volume comes out at 1146.9 Å³/cell. The density of states at the Fermi level comes out at 0.2417 states/eV/atom.



Record 2
Material: KGaAg2
Method: DFT, PBE-GGA
State: optimized geometry

The space group is Pmmn (No. 59, origin choice 2) and the conventional cell measures 4.601, 7.507 and 6.495 Å, with angles of 90.00, 90.00 and 90.00 degrees. The asymmetric unit holds K at (0.250, 0.250, 0.111), Ga at (0.250, 0.750, 0.388) and Ag at (0.250, 0.064, 0.602).

The energy relative to the elements comes out at -0.0524 eV per atom. Its theoretical density is 4.80 g/cm3. The volume comes out at 224.3 Å³/cell. The energy above the most stable polymorph in this dataset is 0.0 meV/atom. The density of states at the Fermi level comes out at 0.1778 states/eV/atom.



Record 3
Material: K2GaAg
Method: DFT, PBE-GGA
State: optimized geometry

The space group is R3m (No. 160, hexagonal axes) and the conventional cell measures 4.6431, 4.6431 and 26.1131 Å, with angles of 90.00, 90.00 and 120.00 degrees. The asymmetric unit holds K at (0.0000, 0.0000, 0.0000), K at (0.0000, 0.0000, 0.1780), Ga at (0.0000, 0.0000, 0.4224) and Ag at (0.0000, 0.0000, 0.7558).

The energy relative to the elements comes out at -0.0113 eV per atom. Its theoretical density is 2.61 g/cm3. The volume comes out at 487.5 Å³/cell. The energy above the most stable polymorph in this dataset is 0.0 meV/atom. The density of states at the Fermi level comes out at 0.8197 states/eV/atom.



Record 4
Material: K3Ga2Ag4
Method: DFT, PBE-GGA
State: optimized geometry

The space group is C2/m (No. 12) and the conventional cell measures 12.488, 4.610 and 9.456 Å, with angles of 90.00, 106.94 and 90.00 degrees. The asymmetric unit holds K at (0.000, 0.000, 0.000), K at (0.125, 0.500, 0.376), Ga at (0.181, 0.500, 0.777), Ag at (0.087, 0.000, 0.636) and Ag at (0.249, 0.500, 0.083).

The energy relative to the elements comes out at -0.0441 eV per atom. Its theoretical density is 4.39 g/cm3. The volume comes out at 520.8 Å³/cell. The density of states at the Fermi level comes out at 0.3608 states/eV/atom.



Record 5
Material: K3Ga4Ag
Method: DFT, PBE-GGA
State: optimized geometry

The space group is Pmmn (No. 59, origin choice 2) and the conventional cell measures 5.889, 13.877 and 6.231 Å, with angles of 90.00, 90.00 and 90.00 degrees. The asymmetric unit holds K at (0.250, 0.006, 0.211), K at (0.250, 0.750, 0.532), Ga at (0.027, 0.750, 0.040), Ga at (0.250, 0.147, 0.694) and Ag at (0.250, 0.250, 0.307).

The energy relative to the elements comes out at -0.0378 eV per atom. Its theoretical density is 3.29 g/cm3. The volume comes out at 509.2 Å³/cell. The density of states at the Fermi level comes out at 0.3574 states/eV/atom.



Record 6
Material: KGaAg
Method: DFT, PBE-GGA
State: optimized geometry

The space group is C2/m (No. 12) and the conventional cell measures 7.535, 4.709 and 11.308 Å, with angles of 90.00, 104.29 and 90.00 degrees. The asymmetric unit holds K at (0.246, 0.000, 0.318), Ga at (0.015, 0.500, 0.121) and Ag at (0.156, 0.000, 0.942).

The energy relative to the elements comes out at -0.0049 eV per atom. Its theoretical density is 3.70 g/cm3. The volume comes out at 388.8 Å³/cell. The energy above the most stable polymorph in this dataset is 44.5 meV/atom. The density of states at the Fermi level comes out at 0.5291 states/eV/atom.